LaDyNiRu | Alexandria | PBE | optimized geometry; uncorrected energy = -6.409 eV per atom; formation enthalpy at 0 K = -263 meV per atom; SG = No. 216
1.0
0.000 3.476 3.476
3.476 0.000 3.476
3.476 3.476 0.000
La Dy Ni Ru
1 1 1 1
direct
0.000 0.000 0.000
0.500 0.500 0.500
0.750 0.750 0.750
0.250 0.250 0.250

***

Cs3TmU3Se8 | Alexandria | PBE | optimized geometry; uncorrected energy = -5.944 eV per atom; SG = No. 166
1.0
4.205 2.428 8.563
-4.205 2.428 8.563
0.000 -4.855 8.563
Cs Tm U Se
3 1 3 8
direct
0.000 0.500 0.500
0.500 0.000 0.500
0.500 0.500 0.000
0.500 0.500 0.500
0.000 0.000 0.500
0.000 0.500 0.000
0.500 0.000 0.000
0.229 0.229 0.229
0.230 0.726 0.726
0.274 0.274 0.770
0.274 0.770 0.274
0.726 0.230 0.726
0.726 0.726 0.230
0.770 0.274 0.274
0.771 0.771 0.771

***

Ca4SmY3Se8 | Alexandria | PBE | optimized geometry; uncorrected energy = -5.638 eV per atom; SG = No. 166
1.0
4.122 2.380 6.870
-4.122 2.380 6.870
0.000 -4.760 6.870
Ca Sm Y Se
4 1 3 8
direct
0.000 0.000 0.000
0.000 0.500 0.500
0.500 0.000 0.500
0.500 0.500 0.000
0.500 0.500 0.500
0.000 0.000 0.500
0.000 0.500 0.000
0.500 0.000 0.000
0.246 0.751 0.751
0.249 0.249 0.249
0.249 0.249 0.754
0.249 0.754 0.249
0.751 0.246 0.751
0.751 0.751 0.246
0.751 0.751 0.751
0.754 0.249 0.249